# 1
Here is a relaxed Pr5Sm12Th2 crystal from Alexandria via LeMat-Bulk. Energies are from PBE-GGA.

a b c (Å): 7.1484 8.7944 11.8307
angles (deg): 108.88 107.58 90.00
Last column: nearest neighbours and their distance in Å.
Element x y z (fractional)
Sm  0.8506  0.3835  0.2133  1 Th 3.41, 4 Pr 3.44-3.54, 5 Sm 3.49-3.71
Sm  0.8594  0.9416  0.7188  2 Th 3.52, 6 Sm 3.56-3.81, 3 Pr 3.59-3.74
Sm  0.6373  0.6165  0.7867  1 Th 3.41, 4 Pr 3.44-3.54, 5 Sm 3.49-3.71
Sm  0.4537  0.3001  0.9074  5 Sm 3.43-3.73, 1 Pr 3.46, 2 Th 3.62
Sm  0.1494  0.6165  0.7867  1 Th 3.41, 4 Pr 3.44-3.54, 5 Sm 3.49-3.71
Sm  0.5466  0.2072  0.5997  7 Sm 3.50-3.81, 4 Pr 3.55-3.68
Sm  0.9469  0.7928  0.4003  7 Sm 3.50-3.81, 4 Pr 3.55-3.68
Sm  0.0531  0.2072  0.5997  7 Sm 3.50-3.81, 4 Pr 3.55-3.68
Sm  0.3627  0.3835  0.2133  1 Th 3.41, 4 Pr 3.44-3.54, 5 Sm 3.49-3.71
Sm  0.5463  0.6999  0.0926  5 Sm 3.43-3.73, 1 Pr 3.46, 2 Th 3.62
Sm  0.4534  0.7928  0.4003  7 Sm 3.50-3.81, 4 Pr 3.55-3.68
Sm  0.1406  0.0584  0.2812  2 Th 3.52, 6 Sm 3.56-3.81, 3 Pr 3.59-3.74
Pr  0.3501  0.9059  0.7001  9 Sm 3.46-3.67, 1 Pr 3.60, 2 Th 3.66
Pr  0.7517  0.5104  0.5034  9 Sm 3.52-3.74, 3 Pr 3.58-3.60
Pr  0.6499  0.0941  0.2999  9 Sm 3.46-3.67, 1 Pr 3.60, 2 Th 3.66
Pr  0.0000  0.5000  0.0000  4 Sm 3.44
Pr  0.2483  0.4896  0.4966  9 Sm 3.52-3.74, 3 Pr 3.58-3.60
Th  0.7505  0.0000  0.0000  6 Sm 3.41-3.62, 2 Th 3.57-3.58, 2 Pr 3.66
Th  0.2495  0.0000  0.0000  6 Sm 3.41-3.62, 2 Th 3.57-3.58, 2 Pr 3.66

Calculated values
offset from the most stable computed form	16	meV/atom
total energy	-0.3575	Ry per atom
ΔH_f (0 K)	3.0	eV/f.u.


# 2
Here is a relaxed Pr2Sm8Th crystal from Alexandria via LeMat-Bulk. Energies are from PBE-GGA.

a b c (Å): 5.7548 10.3483 10.3483
angles (deg): 39.12 94.32 94.32
Last column: nearest neighbours and their distance in Å.
Element x y z (fractional)
Sm  0.7782  0.8188  0.8188  4 Pr 3.45-3.54, 4 Sm 3.49-3.64, 1 Th 3.66
Sm  0.7736  0.4515  0.4515  1 Sm 3.09, 1 Pr 3.32
Sm  0.2779  0.1348  0.6143  5 Sm 3.32-3.64, 1 Pr 3.52, 1 Th 3.52
Sm  0.7221  0.3857  0.8652  5 Sm 3.32-3.64, 1 Pr 3.52, 1 Th 3.52
Sm  0.2218  0.1812  0.1812  4 Pr 3.45-3.54, 4 Sm 3.49-3.64, 1 Th 3.66
Sm  0.2779  0.6143  0.1348  5 Sm 3.32-3.64, 1 Pr 3.52, 1 Th 3.52
Sm  0.7221  0.8652  0.3857  5 Sm 3.32-3.64, 1 Pr 3.52, 1 Th 3.52
Sm  0.2264  0.5485  0.5485  1 Sm 3.09, 1 Pr 3.32
Th  0.0000  0.0000  0.0000  10 Sm 3.52-3.79
Pr  0.7458  0.2809  0.2809  7 Sm 3.32-3.54
Pr  0.2542  0.7191  0.7191  7 Sm 3.32-3.54

Calculated values
offset from the most stable computed form	171	meV/atom
total energy	-0.3512	Ry per atom
ΔH_f (0 K)	2.2	eV/f.u.


# 3
Here is a relaxed Pr2Sm3Th3 crystal from Alexandria via LeMat-Bulk. Energies are from PBE-GGA.

a b c (Å): 3.6522 9.2637 9.2637
angles (deg): 119.99 90.00 90.00
Last column: nearest neighbours and their distance in Å.
Element x y z (fractional)
Th  0.0000  0.2217  0.2217  4 Th 3.56-3.65, 4 Sm 3.65, 2 Pr 3.71
Th  0.0000  0.7783  0.0001  4 Th 3.56-3.65, 4 Sm 3.65, 2 Pr 3.71-3.72
Th  0.0000  0.0001  0.7783  4 Th 3.56-3.65, 4 Sm 3.65, 2 Pr 3.71-3.72
Sm  0.5000  0.6080  0.6080  4 Pr 3.39, 4 Th 3.65, 2 Sm 3.65
Sm  0.5000  0.3922  0.9999  4 Pr 3.39, 4 Th 3.65, 2 Sm 3.65
Sm  0.5000  0.9999  0.3922  4 Pr 3.39, 4 Th 3.65, 2 Sm 3.65
Pr  0.0000  0.3333  0.6666  6 Sm 3.39, 2 Pr 3.65, 3 Th 3.71-3.72
Pr  0.0000  0.6666  0.3333  6 Sm 3.39, 2 Pr 3.65, 3 Th 3.71-3.72

Calculated values
total energy	-0.4081	Ry per atom
ΔH_f (0 K)	1.6	eV/f.u.


# 4
Here is a relaxed Pr3SmTh crystal from Alexandria via LeMat-Bulk. Energies are from PBE-GGA.

a b c (Å): 3.6700 3.6700 29.9366
angles (deg): 90.00 90.00 120.00
Last column: nearest neighbours and their distance in Å.
Element x y z (fractional)
Pr  0.3333  0.6667  0.1214  3 Th 3.58, 6 Pr 3.67, 3 Sm 3.77
Pr  0.0000  0.0000  0.3238  3 Sm 3.62, 9 Pr 3.67-3.80
Pr  0.6667  0.3333  0.9290  3 Th 3.57, 9 Pr 3.67-3.80
Pr  0.0000  0.0000  0.8238  3 Sm 3.62, 9 Pr 3.67-3.80
Pr  0.3333  0.6667  0.4290  3 Th 3.57, 9 Pr 3.67-3.80
Pr  0.6667  0.3333  0.6214  3 Th 3.58, 6 Pr 3.67, 3 Sm 3.77
Th  0.0000  0.0000  0.5250  6 Pr 3.57-3.58, 6 Th 3.67
Th  0.0000  0.0000  0.0250  6 Pr 3.57-3.58, 6 Th 3.67
Sm  0.3333  0.6667  0.7257  6 Pr 3.62-3.77, 6 Sm 3.67
Sm  0.6667  0.3333  0.2257  6 Pr 3.62-3.77, 6 Sm 3.67

Calculated values
total energy	-0.3874	Ry per atom
ΔH_f (0 K)	0.1	eV/f.u.


# 5
Here is a relaxed Pr5Sm2Th2 crystal from Alexandria via LeMat-Bulk. Energies are from PBE-GGA.

a b c (Å): 6.3757 10.9318 8.1583
angles (deg): 131.86 83.03 125.07
Last column: nearest neighbours and their distance in Å.
Element x y z (fractional)
Pr  0.3336  0.4486  0.6794  3 Th 3.59-3.68, 6 Pr 3.59-3.80, 3 Sm 3.67-3.74
Pr  0.6664  0.5514  0.3206  3 Th 3.59-3.68, 6 Pr 3.59-3.80, 3 Sm 3.67-3.74
Pr  0.0000  0.0000  0.0000  4 Sm 3.66-3.67, 6 Pr 3.67-3.73, 2 Th 3.69
Pr  0.6584  0.8845  0.3334  6 Pr 3.59-3.72, 4 Th 3.61-3.75, 2 Sm 3.64-3.66
Pr  0.3416  0.1155  0.6666  6 Pr 3.59-3.72, 4 Th 3.61-3.75, 2 Sm 3.64-3.66
Sm  0.3318  0.7781  0.6689  2 Sm 3.63-3.66, 3 Th 3.64-3.69, 7 Pr 3.64-3.74
Sm  0.6682  0.2219  0.3311  2 Sm 3.63-3.66, 3 Th 3.64-3.69, 7 Pr 3.64-3.74
Th  0.0024  0.6618  0.9961  1 Th 3.56, 8 Pr 3.59-3.75, 3 Sm 3.64-3.69
Th  0.9976  0.3382  0.0039  1 Th 3.56, 8 Pr 3.59-3.75, 3 Sm 3.64-3.69

Calculated values
total energy	-0.3892	Ry per atom
ΔH_f (0 K)	0.5	eV/f.u.


# 6
Here is a relaxed PrSmTh crystal from Alexandria via LeMat-Bulk. Energies are from PBE-GGA.

a b c (Å): 6.7428 6.9576 9.0117
angles (deg): 90.00 102.43 90.00
Last column: nearest neighbours and their distance in Å.
Element x y z (fractional)
Pr  0.8353  0.0957  0.3317  2 Th 3.39-3.70, 5 Sm 3.47-3.79, 1 Pr 3.61
Pr  0.6647  0.5957  0.6683  2 Th 3.39-3.70, 5 Sm 3.47-3.79, 1 Pr 3.61
Pr  0.3353  0.4043  0.3317  2 Th 3.39-3.70, 5 Sm 3.47-3.79, 1 Pr 3.61
Pr  0.1647  0.9043  0.6683  2 Th 3.39-3.70, 5 Sm 3.47-3.79, 1 Pr 3.61
Th  0.9268  0.2726  0.0022  3 Th 3.32-3.39, 2 Sm 3.34-3.63, 2 Pr 3.39-3.70
Th  0.4268  0.2274  0.0022  3 Th 3.32-3.39, 2 Sm 3.34-3.63, 2 Pr 3.39-3.70
Th  0.0732  0.7274  0.9978  3 Th 3.32-3.39, 2 Sm 3.34-3.63, 2 Pr 3.39-3.70
Th  0.5732  0.7726  0.9978  3 Th 3.32-3.39, 2 Sm 3.34-3.63, 2 Pr 3.39-3.70
Sm  0.6430  0.0973  0.6803  2 Th 3.34-3.63, 4 Pr 3.47-3.65, 1 Sm 3.66
Sm  0.1430  0.4027  0.6803  2 Th 3.34-3.63, 4 Pr 3.47-3.65, 1 Sm 3.66
Sm  0.8570  0.5973  0.3197  2 Th 3.34-3.63, 4 Pr 3.47-3.65, 1 Sm 3.66
Sm  0.3570  0.9027  0.3197  2 Th 3.34-3.63, 4 Pr 3.47-3.65, 1 Sm 3.66

Calculated values
offset from the most stable computed form	145	meV/atom
total energy	-0.4021	Ry per atom
ΔH_f (0 K)	0.5	eV/f.u.


# 7
Here is a relaxed Pr3Sm12Th crystal from Alexandria via LeMat-Bulk. Energies are from PBE-GGA.

a b c (Å): 5.1506 5.1506 20.5833
angles (deg): 90.00 90.00 90.00
Last column: nearest neighbours and their distance in Å.
Element x y z (fractional)
Sm  0.5000  0.0000  0.3742  8 Sm 3.64-3.65, 4 Pr 3.65
Sm  0.5000  0.0000  0.1214  2 Th 3.59, 8 Sm 3.59-3.68, 2 Pr 3.68
Sm  0.5000  0.5000  0.2494  8 Sm 3.64-3.68, 4 Pr 3.64
Sm  0.5000  0.5000  0.5000  4 Pr 3.64, 8 Sm 3.65
Sm  0.5000  0.5000  0.0000  8 Sm 3.59, 4 Th 3.64
Sm  0.0000  0.5000  0.8786  2 Th 3.59, 8 Sm 3.59-3.68, 2 Pr 3.68
Sm  0.0000  0.5000  0.6258  8 Sm 3.64-3.65, 4 Pr 3.65
Sm  0.5000  0.0000  0.8786  2 Th 3.59, 8 Sm 3.59-3.68, 2 Pr 3.68
Sm  0.5000  0.5000  0.7506  8 Sm 3.64-3.68, 4 Pr 3.64
Sm  0.0000  0.5000  0.1214  2 Th 3.59, 8 Sm 3.59-3.68, 2 Pr 3.68
Sm  0.0000  0.5000  0.3742  8 Sm 3.64-3.65, 4 Pr 3.65
Sm  0.5000  0.0000  0.6258  8 Sm 3.64-3.65, 4 Pr 3.65
Th  0.0000  0.0000  0.0000  12 Sm 3.59-3.64
Pr  0.0000  0.0000  0.7512  12 Sm 3.64-3.68
Pr  0.0000  0.0000  0.2488  12 Sm 3.64-3.68
Pr  0.0000  0.0000  0.5000  12 Sm 3.64-3.65

Calculated values
total energy	-0.3585	Ry per atom
ΔH_f (0 K)	0.3	eV/f.u.


# 8
Here is a relaxed Pr7Sm2Th2 crystal from Alexandria via LeMat-Bulk. Energies are from PBE-GGA.

a b c (Å): 10.9535 3.6783 10.9535
angles (deg): 76.99 113.33 103.01
Last column: nearest neighbours and their distance in Å.
Element x y z (fractional)
Pr  0.0000  0.0000  0.0000  4 Th 3.58, 2 Pr 3.68
Pr  0.9190  0.1732  0.5905  2 Th 3.34-3.53, 5 Pr 3.40-3.70, 2 Sm 3.50-3.62
Pr  0.4024  0.5617  0.5976  2 Th 3.48, 5 Pr 3.53-3.72, 1 Sm 3.84
Pr  0.4095  0.1732  0.0810  2 Th 3.34-3.53, 5 Pr 3.40-3.70, 2 Sm 3.50-3.62
Pr  0.5905  0.8268  0.9190  2 Th 3.34-3.53, 5 Pr 3.40-3.70, 2 Sm 3.50-3.62
Pr  0.5976  0.4383  0.4024  2 Th 3.48, 5 Pr 3.53-3.72, 1 Sm 3.84
Pr  0.0810  0.8268  0.4095  2 Th 3.34-3.53, 5 Pr 3.40-3.70, 2 Sm 3.50-3.62
Sm  0.2070  0.7613  0.7930  7 Pr 3.50-3.84, 2 Sm 3.68
Sm  0.7930  0.2387  0.2070  7 Pr 3.50-3.84, 2 Sm 3.68
Th  0.2556  0.5000  0.2556  8 Pr 3.34-3.58, 2 Th 3.68
Th  0.7444  0.5000  0.7444  8 Pr 3.34-3.58, 2 Th 3.68

Calculated values
offset from the most stable computed form	0	meV/atom
total energy	-0.3744	Ry per atom
ΔH_f (0 K)	1.7	eV/f.u.


Density of states at the Fermi level per entry: 1.594 1.637 1.484 1.642 1.626 1.548 1.398 1.543 states/eV/atom
Ρ per entry: 7.4 7.4 8.7 7.7 7.8 8.4 7.5 7.5 g/cm³